Entry one
BeInCo: relaxed, GGA-PBE.

Properties
As for the crystal system: tetragonal. The volume comes out at 13.2 Å³/atom. Its total magnetization is 0.16 μB/atom.

Cell: 4.9924 4.9923 2.9616 Å, 72.75 72.74 34.51°
Element x y z (fractional)
Be  0.9584  0.9584  0.0416
Co  0.3705  0.3705  0.6295
In  0.6711  0.6711  0.3289



Entry two
BeInCo: relaxed, GGA-PBE.

Properties
As for the crystal system: hexagonal. The volume comes out at 13.4 Å³/atom. Its total magnetization is 0.01 μB/atom.

Cell: 3.8921 3.8921 3.0595 Å, 90.00 90.00 120.00°
Element x y z (fractional)
Be  0.0000  0.0000  0.1670
Co  0.3333  0.6667  0.1665
In  0.6667  0.3333  0.6666



Relative energies, unit meV/atom: entry one 0; entry two 77



Entry one
BeInCo: relaxed, GGA-PBE.

Properties
As for the crystal system: trigonal. The volume comes out at 14.5 Å³/atom. Its total magnetization is 0.28 μB/atom.

Cell: 2.8973 2.8973 5.9829 Å, 90.00 90.00 120.00°
Element x y z (fractional)
Be  0.0000  0.0000  0.0477
Co  0.6667  0.3333  0.2952
In  0.3333  0.6667  0.6571



Entry two
BeInCo: relaxed, GGA-PBE.

Properties
As for the crystal system: cubic. The volume comes out at 14.3 Å³/atom. Its total magnetization is 0.00 μB/atom.

Cell: 3.9258 3.9258 3.9258 Å, 60.00 60.00 60.00°
Element x y z (fractional)
Be  0.7500  0.7500  0.7500
Co  0.0000  0.0000  0.0000
In  0.5000  0.5000  0.5000



Relative energies, unit meV/atom: entry one 171; entry two 0



Entry one
Be2InCo2: relaxed, GGA-PBE.

Properties
As for the crystal system: tetragonal. The volume comes out at 11.1 Å³/atom. Its total magnetization is 0.00 μB/atom.

Cell: 6.3417 6.3417 2.7635 Å, 90.00 90.00 90.00°
Element x y z (fractional)
Be  0.3809  0.8809  0.0000
Be  0.8809  0.6191  0.0000
Be  0.6191  0.1191  0.0000
Be  0.1191  0.3809  0.0000
Co  0.1637  0.6637  0.5000
Co  0.6637  0.8363  0.5000
Co  0.8363  0.3363  0.5000
Co  0.3363  0.1637  0.5000
In  0.0000  0.0000  0.0000
In  0.5000  0.5000  0.0000



Entry two
Be2InCo2: relaxed, GGA-PBE.

Properties
As for the crystal system: tetragonal. The volume comes out at 11.7 Å³/atom. Its total magnetization is 0.00 μB/atom.

Cell: 6.4974 6.4974 2.7629 Å, 90.00 90.00 90.00°
Element x y z (fractional)
Be  0.1409  0.6409  0.5000
Be  0.6409  0.8591  0.5000
Be  0.8591  0.3591  0.5000
Be  0.3591  0.1409  0.5000
Co  0.3596  0.8596  0.0000
Co  0.8596  0.6404  0.0000
Co  0.6404  0.1404  0.0000
Co  0.1404  0.3596  0.0000
In  0.0000  0.0000  0.0000
In  0.5000  0.5000  0.0000



Relative energies, unit meV/atom: entry one 0; entry two 161



Entry one
Be3InCo: relaxed, GGA-PBE.

Properties
As for the crystal system: cubic. The volume comes out at 17.2 Å³/atom. Its total magnetization is 0.31 μB/atom.

Cell: 4.4129 4.4129 4.4129 Å, 90.00 90.00 90.00°
Element x y z (fractional)
Be  0.0000  0.5000  0.0000
Be  0.0000  0.0000  0.5000
Be  0.5000  0.0000  0.0000
Co  0.5000  0.5000  0.5000
In  0.0000  0.0000  0.0000



Entry two
Be3InCo: relaxed, GGA-PBE.

Properties
As for the crystal system: cubic. The volume comes out at 13.4 Å³/atom. Its total magnetization is 0.00 μB/atom.

Cell: 4.0570 4.0570 4.0570 Å, 90.00 90.00 90.00°
Element x y z (fractional)
Be  0.0000  0.5000  0.0000
Be  0.0000  0.0000  0.5000
Be  0.5000  0.0000  0.0000
Co  0.0000  0.0000  0.0000
In  0.5000  0.5000  0.5000



Relative energies, unit meV/atom: entry one 1136; entry two 0



Entry one
Be2CoIr: relaxed, GGA-PBE.

Properties
As for the crystal system: cubic. The volume comes out at 10.0 Å³/atom. Its total magnetization is 0.14 μB/atom.

Cell: 3.8329 3.8329 3.8329 Å, 60.00 60.00 60.00°
Element x y z (fractional)
Be  0.2500  0.2500  0.2500
Be  0.7500  0.7500  0.7500
Ir  0.5000  0.5000  0.5000
Co  0.0000  0.0000  0.0000



Entry two
Be2CoIr: relaxed, GGA-PBE.

Properties
As for the crystal system: orthorhombic. The volume comes out at 10.3 Å³/atom. Its total magnetization is 0.25 μB/atom.

Cell: 4.6089 4.6089 4.6089 Å, 144.83 132.41 60.54°
Element x y z (fractional)
Be  0.9924  0.9924  0.0000
Be  0.7515  0.2515  0.5000
Ir  0.2475  0.7475  0.5000
Co  0.5086  0.5086  0.0000



Relative energies, unit meV/atom: entry one 0; entry two 164



Entry one
Be2CoIr: relaxed, GGA-PBE.

Properties
As for the crystal system: tetragonal. The volume comes out at 10.2 Å³/atom. Its total magnetization is 0.31 μB/atom.

Cell: 2.7650 2.7650 5.3426 Å, 90.00 90.00 90.00°
Element x y z (fractional)
Be  0.0000  0.0000  0.0252
Be  0.5000  0.5000  0.2382
Ir  0.5000  0.5000  0.7764
Co  0.0000  0.0000  0.4602



Entry two
Be2CoIr: relaxed, GGA-PBE.

Properties
As for the crystal system: orthorhombic. The volume comes out at 10.8 Å³/atom. Its total magnetization is 0.21 μB/atom.

Cell: 2.5933 2.5933 7.0163 Å, 90.00 90.00 113.58°
Element x y z (fractional)
Be  0.0000  0.0000  0.0130
Be  0.0000  0.0000  0.4870
Ir  0.5000  0.5000  0.7500
Co  0.5000  0.5000  0.2500



Relative energies, unit meV/atom: entry one 0; entry two 182



Entry one
Be2CoIr: relaxed, GGA-PBE.

Properties
As for the crystal system: orthorhombic. The volume comes out at 11.3 Å³/atom. Its total magnetization is 0.36 μB/atom.

Cell: 2.5628 2.5628 7.6806 Å, 90.00 90.00 115.96°
Element x y z (fractional)
Be  0.0000  0.0000  0.0091
Be  0.5000  0.5000  0.2488
Ir  0.5000  0.5000  0.7671
Co  0.0000  0.0000  0.4749



Entry two
Be2CoIr: relaxed, GGA-PBE.

Properties
As for the crystal system: tetragonal. The volume comes out at 10.0 Å³/atom. Its total magnetization is 0.17 μB/atom.

Cell: 3.8005 3.8005 2.7789 Å, 90.00 90.00 90.00°
Element x y z (fractional)
Be  0.0000  0.0000  0.0000
Be  0.5000  0.5000  0.0000
Ir  0.0000  0.5000  0.5000
Co  0.5000  0.0000  0.5000



Relative energies, unit meV/atom: entry one 576; entry two 0



Entry one
Be2CoIr: relaxed, GGA-PBE.

Properties
As for the crystal system: tetragonal. The volume comes out at 10.9 Å³/atom. Its total magnetization is 0.34 μB/atom.

Cell: 5.8860 5.8860 4.8668 Å, 52.79 52.79 90.00°
Element x y z (fractional)
Be  0.6100  0.1250  0.2500
Be  0.1400  0.6250  0.2500
Be  0.3750  0.3900  0.7500
Be  0.8750  0.8600  0.7500
Ir  0.0000  0.0000  0.0000
Ir  0.7500  0.2500  0.5000
Co  0.5000  0.5000  0.0000
Co  0.2500  0.7500  0.5000



Entry two
Be2CoIr: relaxed, GGA-PBE.

Properties
As for the crystal system: orthorhombic. The volume comes out at 10.6 Å³/atom. Its total magnetization is 0.21 μB/atom.

Cell: 2.8511 4.1647 3.5568 Å, 90.00 90.00 90.00°
Element x y z (fractional)
Be  0.0000  0.0000  0.0000
Be  0.5000  0.5000  0.0000
Ir  0.0000  0.5000  0.5000
Co  0.5000  0.0000  0.5000



Relative energies, unit meV/atom: entry one 342; entry two 0